(1)
! LiAl2Ni2 SCAN single point on PBEsol structure; values from VASP
&SYSTEM
  ibrav = 0, nat = 10, ntyp = 3
/
ATOMIC_SPECIES
Al 26.98 Al.upf
Ni 58.69 Ni.upf
Li 6.94 Li.upf
CELL_PARAMETERS angstrom
-0.9183 1.2708 -2.1382
4.9681 -2.9259 -3.8728
-4.2157 -5.3478 -1.3678
ATOMIC_POSITIONS crystal
Al 0.5000 0.3449 0.1551
Al 0.5000 0.8449 0.3449
Al 0.5000 0.6551 0.8449
Al 0.5000 0.1551 0.6551
Ni 0.0000 0.1402 0.3598
Ni 0.0000 0.3598 0.8598
Ni 0.0000 0.6402 0.1402
Ni 0.0000 0.8598 0.6402
Li 0.0000 0.0000 0.0000
Li 0.0000 0.5000 0.5000
! energy of formation from the pure elements: -0.575 eV/atom
! theoretical density: 4.63 g cm⁻³
! SG: P4/mbm (127)


(2)
! Li2AlNi SCAN single point on PBEsol structure; values from VASP
&SYSTEM
  ibrav = 0, nat = 4, ntyp = 3
/
ATOMIC_SPECIES
Li 6.94 Li.upf
Al 26.98 Al.upf
Ni 58.69 Ni.upf
CELL_PARAMETERS angstrom
-1.2694 1.5969 -1.8449
2.6460 -1.2472 -2.9002
-3.4431 -3.5777 1.3226
ATOMIC_POSITIONS crystal
Li 0.7687 0.7687 0.5375
Li 0.2313 0.2313 0.4625
Al 0.0000 0.5000 0.0000
Ni 0.5000 0.0000 0.0000
! energy of formation from the pure elements: -0.233 eV/atom
! theoretical density: 3.24 g cm⁻³
! SG: Immm (71)


(3)
! LiAl3Ni SCAN single point on PBEsol structure; values from VASP
&SYSTEM
  ibrav = 0, nat = 5, ntyp = 3
/
ATOMIC_SPECIES
Al 26.98 Al.upf
Ni 58.69 Ni.upf
Li 6.94 Li.upf
CELL_PARAMETERS angstrom
-0.8506 -0.0798 -4.1340
-3.7036 -1.8618 0.7980
-1.8383 3.7878 0.3051
ATOMIC_POSITIONS crystal
Al 0.0000 0.0000 0.5000
Al 0.0000 0.5000 0.0000
Al 0.5000 0.0000 0.0000
Ni 0.5000 0.5000 0.5000
Li 0.0000 0.0000 0.0000
! energy of formation from the pure elements: 0.727 eV/atom
! relative energy among the computed polymorphs: 428.9 kJ/mol of formula units
! theoretical density: 3.24 g cm⁻³
! SG: Pm-3m (221)


(4)
! LiAl3Ni SCAN single point on PBEsol structure; values from VASP
&SYSTEM
  ibrav = 0, nat = 5, ntyp = 3
/
ATOMIC_SPECIES
Al 26.98 Al.upf
Li 6.94 Li.upf
Ni 58.69 Ni.upf
CELL_PARAMETERS angstrom
4.4640 0.0000 0.0000
0.0000 4.4640 0.0000
0.0000 0.0000 4.4640
ATOMIC_POSITIONS crystal
Al 0.0000 0.5000 0.0000
Al 0.0000 0.0000 0.5000
Al 0.5000 0.0000 0.0000
Li 0.5000 0.5000 0.5000
Ni 0.0000 0.0000 0.0000
! energy of formation from the pure elements: -0.162 eV/atom
! relative energy among the computed polymorphs: 0.0 kJ/mol of formula units
! theoretical density: 2.74 g cm⁻³
! SG: Pm-3m (221)


(5)
! Li2AlNi SCAN single point on PBEsol structure; values from VASP
&SYSTEM
  ibrav = 0, nat = 4, ntyp = 3
/
ATOMIC_SPECIES
Li 6.94 Li.upf
Al 26.98 Al.upf
Ni 58.69 Ni.upf
CELL_PARAMETERS angstrom
3.4618 0.0000 0.0000
0.0000 3.4618 0.0000
-1.7309 -1.7309 4.3050
ATOMIC_POSITIONS crystal
Li 0.7500 0.2500 0.5000
Li 0.2500 0.7500 0.5000
Al 0.0000 0.0000 0.0000
Ni 0.5000 0.5000 0.0000
! energy of formation from the pure elements: -0.175 eV/atom
! theoretical density: 3.20 g cm⁻³
! SG: I4/mmm (139)


(6)
! Li2AlNi SCAN single point on PBEsol structure; values from VASP
&SYSTEM
  ibrav = 0, nat = 4, ntyp = 3
/
ATOMIC_SPECIES
Al 26.98 Al.upf
Li 6.94 Li.upf
Ni 58.69 Ni.upf
CELL_PARAMETERS angstrom
-0.4350 1.5783 2.0030
-2.0985 -1.2580 -0.8404
1.7060 -6.5308 5.5166
ATOMIC_POSITIONS crystal
Al 0.5000 0.5000 0.0000
Li 0.0000 0.0000 0.2728
Li 0.0000 0.0000 0.7272
Ni 0.5000 0.5000 0.5000
! energy of formation from the pure elements: 0.065 eV/atom
! theoretical density: 3.11 g cm⁻³
! SG: Cmmm (65)


(7)
! LiAlNi3O5 SCAN single point on PBEsol structure; values from VASP
&SYSTEM
  ibrav = 0, nat = 20, ntyp = 4
/
ATOMIC_SPECIES
O 16.00 O.upf
Ni 58.69 Ni.upf
Li 6.94 Li.upf
Al 26.98 Al.upf
CELL_PARAMETERS angstrom
-0.1282 4.9324 -0.7517
-1.5487 2.3930 4.1991
6.7291 2.9800 1.8368
ATOMIC_POSITIONS crystal
O 0.8390 0.7608 0.7897
O 0.7515 0.2596 0.0000
O 0.5360 0.2195 0.4084
O 0.3713 0.2392 0.7897
O 0.2485 0.7404 0.0000
O 0.1610 0.2392 0.2103
O 0.4640 0.7805 0.5916
O 0.0556 0.7805 0.4084
O 0.6287 0.7608 0.2103
O 0.9444 0.2195 0.5916
Ni 0.8994 0.0000 0.2013
Ni 0.0000 0.5000 0.0000
Ni 0.3951 0.5000 0.2099
Ni 0.1006 0.0000 0.7987
Ni 0.6049 0.5000 0.7901
Ni 0.5000 0.0000 0.0000
Li 0.8014 0.5000 0.3972
Li 0.1986 0.5000 0.6028
Al 0.2994 0.0000 0.4013
Al 0.7006 0.0000 0.5987
! total DFT energy (no corrections): -10.9296 eV/atom
! theoretical density: 5.66 g cm⁻³
! SG: C2/m (12)


(8)
! Li5AlO4 SCAN single point on PBEsol structure; values from VASP
&SYSTEM
  ibrav = 0, nat = 20, ntyp = 3
/
ATOMIC_SPECIES
Li 6.94 Li.upf
O 16.00 O.upf
Al 26.98 Al.upf
CELL_PARAMETERS angstrom
-2.6210 -1.7558 -3.3556
3.2026 -5.3782 0.3127
-4.1201 -2.1994 4.3691
ATOMIC_POSITIONS crystal
Li 0.2544 0.7392 0.8032
Li 0.7456 0.2392 0.3032
Li 0.2544 0.2608 0.1968
Li 0.2047 0.5000 0.5000
Li 0.7456 0.7608 0.3032
Li 0.2544 0.7392 0.1968
Li 0.7456 0.2392 0.6968
Li 0.7953 0.0000 0.0000
Li 0.2544 0.2608 0.8032
Li 0.7456 0.7608 0.6968
O 0.5692 0.2623 0.0000
O 0.4308 0.7623 0.5000
O 0.5692 0.7377 0.0000
O 0.0153 0.0000 0.2664
O 0.9847 0.5000 0.7664
O 0.9847 0.5000 0.2336
O 0.0153 0.0000 0.7336
O 0.4308 0.2377 0.5000
Al 0.7756 0.5000 0.0000
Al 0.2244 0.0000 0.5000
! relative energy among the computed polymorphs: 5.9 kJ/mol of formula units
! theoretical density: 2.26 g cm⁻³
! SG: Pmmn (59)


(9)
! Li5AlO4 SCAN single point on PBEsol structure; values from VASP
&SYSTEM
  ibrav = 0, nat = 80, ntyp = 3
/
ATOMIC_SPECIES
Li 6.94 Li.upf
O 16.00 O.upf
Al 26.98 Al.upf
CELL_PARAMETERS angstrom
-7.3204 2.4200 4.4910
2.4432 -5.3464 6.8634
4.5732 6.8919 3.7407
ATOMIC_POSITIONS crystal
Li 0.1388 0.1139 0.3981
Li 0.1388 0.6139 0.1019
Li 0.3324 0.8944 0.3802
Li 0.9012 0.6270 0.6449
Li 0.5988 0.1270 0.3551
Li 0.1317 0.8531 0.6209
Li 0.8324 0.6056 0.3802
Li 0.8683 0.1469 0.3791
Li 0.8612 0.8861 0.6019
Li 0.6317 0.6469 0.6209
Li 0.6676 0.1056 0.6198
Li 0.1317 0.3531 0.8791
Li 0.1676 0.8944 0.8802
Li 0.8683 0.6469 0.1209
Li 0.5988 0.6270 0.1449
Li 0.6317 0.1469 0.8791
Li 0.1029 0.6186 0.8406
Li 0.6388 0.8861 0.1019
Li 0.3971 0.6186 0.3406
Li 0.1029 0.1186 0.6594
Li 0.0988 0.3730 0.3551
Li 0.8971 0.8814 0.3406
Li 0.6388 0.3861 0.3981
Li 0.9012 0.1270 0.8551
Li 0.8324 0.1056 0.1198
Li 0.0988 0.8730 0.1449
Li 0.4012 0.8730 0.6449
Li 0.3324 0.3944 0.1198
Li 0.8612 0.3861 0.8981
Li 0.8971 0.3814 0.1594
Li 0.4012 0.3730 0.8551
Li 0.3971 0.1186 0.1594
Li 0.6676 0.6056 0.8802
Li 0.3612 0.1139 0.8981
Li 0.3683 0.8531 0.1209
Li 0.3683 0.3531 0.3791
Li 0.3612 0.6139 0.6019
Li 0.1676 0.3944 0.6198
Li 0.6029 0.8814 0.8406
Li 0.6029 0.3814 0.6594
O 0.4998 0.9631 0.2573
O 0.4998 0.4631 0.2427
O 0.5002 0.0369 0.7427
O 0.2388 0.5139 0.4618
O 0.7612 0.4861 0.5382
O 0.2388 0.0139 0.0382
O 0.9998 0.0369 0.2427
O 0.5070 0.7480 0.9899
O 0.7388 0.9861 0.4618
O 0.2612 0.0139 0.5382
O 0.5070 0.2480 0.5101
O 0.4930 0.7520 0.4899
O 0.0070 0.7520 0.9899
O 0.7612 0.9861 0.9618
O 0.9930 0.7480 0.4899
O 0.7388 0.4861 0.0382
O 0.2612 0.5139 0.9618
O 0.2324 0.7480 0.2567
O 0.7324 0.2520 0.2433
O 0.7676 0.2520 0.7433
O 0.0002 0.4631 0.7427
O 0.9998 0.5369 0.2573
O 0.5002 0.5369 0.7573
O 0.2324 0.2480 0.2433
O 0.0070 0.2520 0.5101
O 0.7324 0.7520 0.2567
O 0.4930 0.2520 0.0101
O 0.0002 0.9631 0.7573
O 0.7676 0.7520 0.7567
O 0.2676 0.2480 0.7433
O 0.2676 0.7480 0.7567
O 0.9930 0.2480 0.0101
Al 0.8842 0.8557 0.8773
Al 0.1158 0.6443 0.3773
Al 0.6158 0.8557 0.3773
Al 0.3842 0.1443 0.6227
Al 0.3842 0.6443 0.8773
Al 0.6158 0.3557 0.1227
Al 0.8842 0.3557 0.6227
Al 0.1158 0.1443 0.1227
! relative energy among the computed polymorphs: 0.0 kJ/mol of formula units
! theoretical density: 2.28 g cm⁻³
! SG: Pbca (61)


(10)
! LiTiAl2O SCAN single point on PBEsol structure; values from VASP
&SYSTEM
  ibrav = 0, nat = 5, ntyp = 4
/
ATOMIC_SPECIES
O 16.00 O.upf
Ti 47.87 Ti.upf
Al 26.98 Al.upf
Li 6.94 Li.upf
CELL_PARAMETERS angstrom
-1.6665 0.5007 -3.2358
1.0131 -5.0074 -1.2966
-4.5869 -1.4804 2.1332
ATOMIC_POSITIONS crystal
O 0.5000 0.0000 0.0000
Ti 0.0000 0.0000 0.0000
Al 0.0000 0.5000 0.0000
Al 0.0000 0.0000 0.5000
Li 0.5000 0.5000 0.5000
! total DFT energy (no corrections): -8.3686 eV/atom
! theoretical density: 2.03 g cm⁻³
! SG: P4/mmm (123)


(11)
! LiAlVO4 SCAN single point on PBEsol structure; values from VASP
&SYSTEM
  ibrav = 0, nat = 14, ntyp = 4
/
ATOMIC_SPECIES
V 50.94 V.upf
O 16.00 O.upf
Li 6.94 Li.upf
Al 26.98 Al.upf
CELL_PARAMETERS angstrom
-3.2945 3.0912 3.4692
-0.4470 -1.4427 5.5372
2.4092 3.2210 4.0940
ATOMIC_POSITIONS crystal
V 0.5000 0.5000 0.5000
V 0.5000 0.0000 0.0000
O 0.7345 0.2935 0.2374
O 0.2654 0.2626 0.2065
O 0.7163 0.2641 0.7641
O 0.2837 0.7359 0.2359
O 0.7346 0.7374 0.7935
O 0.2555 0.2641 0.7641
O 0.2655 0.7065 0.7626
O 0.7445 0.7359 0.2359
Li 0.1308 0.1192 0.6192
Li 0.8692 0.8808 0.3808
Al 0.0000 0.5000 0.0000
Al 0.5000 0.5000 0.0000
! relative energy among the computed polymorphs: 9.7 kJ/mol of formula units
! theoretical density: 3.74 g cm⁻³
! SG: Imma (74)


(12)
! Li3Al2VO6 SCAN single point on PBEsol structure; values from VASP
&SYSTEM
  ibrav = 0, nat = 12, ntyp = 4
/
ATOMIC_SPECIES
V 50.94 V.upf
Li 6.94 Li.upf
O 16.00 O.upf
Al 26.98 Al.upf
CELL_PARAMETERS angstrom
4.9374 -0.0072 0.0054
-2.4596 4.2812 0.0054
-0.8348 -1.4399 4.7277
ATOMIC_POSITIONS crystal
V 0.0000 0.0000 0.5000
Li 0.8330 0.1670 0.0000
Li 0.1670 0.8330 0.0000
Li 0.5000 0.5000 0.0000
O 0.7272 0.7272 0.7212
O 0.0735 0.4196 0.7193
O 0.5804 0.9265 0.2807
O 0.2728 0.2728 0.2788
O 0.4196 0.0735 0.7193
O 0.9265 0.5804 0.2807
Al 0.6666 0.3334 0.5000
Al 0.3334 0.6666 0.5000
! relative energy among the computed polymorphs: 0.0 kJ/mol of formula units
! theoretical density: 3.68 g cm⁻³
! SG: C2/m (12)